[1]
BaNbAsO: optimized geometry, PBE.

Calculated values
Crystal system = orthorhombic
Symmetry = No. 26
Polymorph energy (0 for the lowest one) = 0 meV per atom

Cell: 4.3981 7.3236 6.5205 Å, 90.00 90.00 90.00°
Sites, in units of the cell vectors:
Ba 0.0000 0.2118 0.0000
Ba 0.0000 0.7882 0.5000
Nb 0.5000 0.4008 0.5753
Nb 0.5000 0.5992 0.0753
As 0.0000 0.2389 0.4967
As 0.0000 0.7611 0.9967
O 0.5000 0.3843 0.8826
O 0.5000 0.6157 0.3826

[2]
BaNbAsO: optimized geometry, PBE.

Calculated values
Crystal system = orthorhombic
Symmetry = No. 26
Polymorph energy (0 for the lowest one) = 63 meV per atom

Cell: 3.9045 6.6842 7.4436 Å, 90.00 90.00 90.00°
Sites, in units of the cell vectors:
Ba 0.0000 0.2142 0.0000
Ba 0.0000 0.7858 0.5000
Nb 0.5000 0.2592 0.4284
Nb 0.5000 0.7408 0.9284
As 0.5000 0.4577 0.7105
As 0.5000 0.5423 0.2105
O 0.0000 0.1789 0.4013
O 0.0000 0.8211 0.9013

[3]
Ba3Ni4As4: optimized geometry, PBE.

Calculated values
E = -53.10 eV for the cell shown
Crystal system = orthorhombic
Symmetry = No. 47

Cell: 4.1991 4.5481 12.6216 Å, 90.00 90.00 90.00°
Sites, in units of the cell vectors:
Ba 0.0000 0.0000 0.0000
Ba 0.5000 0.0000 0.3010
Ba 0.5000 0.0000 0.6990
Ni 0.0000 0.0000 0.5000
Ni 0.0000 0.5000 0.1943
Ni 0.0000 0.5000 0.8057
Ni 0.5000 0.5000 0.5000
As 0.0000 0.5000 0.3904
As 0.0000 0.5000 0.6096
As 0.5000 0.5000 0.1115
As 0.5000 0.5000 0.8885

[4]
BaNi9As5: optimized geometry, PBE.

Calculated values
E = -164.79 eV for the cell shown
Crystal system = hexagonal
Symmetry = No. 194

Cell: 6.7577 6.7577 11.2887 Å, 90.00 90.00 120.00°
Sites, in units of the cell vectors:
Ba 0.0000 0.0000 0.0000
Ba 0.0000 0.0000 0.5000
Ni 0.0714 0.5357 0.1066
Ni 0.0714 0.5357 0.3934
Ni 0.2089 0.4178 0.7500
Ni 0.2089 0.7911 0.7500
Ni 0.4178 0.2089 0.2500
Ni 0.4643 0.5357 0.1066
Ni 0.4643 0.5357 0.3934
Ni 0.4643 0.9286 0.1066
Ni 0.4643 0.9286 0.3934
Ni 0.5357 0.0714 0.6066
Ni 0.5357 0.0714 0.8934
Ni 0.5357 0.4643 0.6066
Ni 0.5357 0.4643 0.8934
Ni 0.5822 0.7911 0.7500
Ni 0.7911 0.2089 0.2500
Ni 0.7911 0.5822 0.2500
Ni 0.9286 0.4643 0.6066
Ni 0.9286 0.4643 0.8934
As 0.1727 0.3454 0.2500
As 0.1727 0.8273 0.2500
As 0.3333 0.6667 0.5610
As 0.3333 0.6667 0.9390
As 0.3454 0.1727 0.7500
As 0.6546 0.8273 0.2500
As 0.6667 0.3333 0.0610
As 0.6667 0.3333 0.4390
As 0.8273 0.1727 0.7500
As 0.8273 0.6546 0.7500